(1)
The following is a DFT calculation (PBE-GGA) of crystalline Hg2PdCl8 at its relaxed geometry.

Computed properties:
- E_tot: -25.40 eV per formula unit
- ΔE_f (raw): -439 meV/atom
- Magnetic moment: 0.0000 μB/atom

The structure in CIF format:
```
data_Hg2PdCl8
_cell_length_a 6.499
_cell_length_b 8.283
_cell_length_c 8.283
_cell_angle_alpha 50.92
_cell_angle_beta 88.26
_cell_angle_gamma 88.26
_symmetry_space_group_name_H-M 'P 1'
_symmetry_Int_Tables_number 1
_symmetry_space_group_name_Hall 'P 1'
loop_
_atom_site_label
_atom_site_fract_x
_atom_site_fract_y
_atom_site_fract_z
_atom_site_occupancy
Hg1 0.614 0.828 0.828 1
Cl1 0.781 0.712 0.171 1
Cl2 0.219 0.829 0.288 1
Pd1 0.000 0.000 0.000 1
Cl3 0.552 0.673 0.673 1
Cl4 0.187 0.862 0.862 1
Cl5 0.813 0.138 0.138 1
Cl6 0.219 0.288 0.829 1
Hg2 0.386 0.172 0.172 1
Cl7 0.448 0.327 0.327 1
Cl8 0.781 0.171 0.712 1
```

***

(2)
The following is a DFT calculation (PBE-GGA) of crystalline RbNaTlCd2 at its relaxed geometry.

Computed properties:
- E_tot: -6.30 eV per formula unit
- Magnetic moment: 0.0000 μB/atom
- Energy above the most stable polymorph in this dataset: 50.1 meV/atom
- Formation energy: 0.037 eV per atom

The structure in CIF format:
```
data_RbNaTlCd2
_cell_length_a 5.817
_cell_length_b 5.817
_cell_length_c 6.010
_cell_angle_alpha 90.00
_cell_angle_beta 90.00
_cell_angle_gamma 90.00
_symmetry_space_group_name_H-M 'P 1'
_symmetry_Int_Tables_number 1
_symmetry_space_group_name_Hall 'P 1'
loop_
_atom_site_label
_atom_site_fract_x
_atom_site_fract_y
_atom_site_fract_z
_atom_site_occupancy
Rb1 0.500 0.500 0.500 1
Cd1 0.000 0.500 0.000 1
Na1 0.000 0.000 0.500 1
Tl1 0.000 0.000 0.000 1
Cd2 0.500 0.000 0.000 1
```

***

(3)
The following is a DFT calculation (PBE-GGA) of crystalline Cs3Dy2Cl9 at its relaxed geometry.

Computed properties:
- E_tot: -59.49 eV per formula unit
- ΔE_f (raw): -2222 meV/atom
- Magnetic moment: 0.0000 μB/atom

The structure in CIF format:
```
data_Cs3Dy2Cl9
_cell_length_a 9.977
_cell_length_b 9.977
_cell_length_c 9.977
_cell_angle_alpha 84.08
_cell_angle_beta 84.08
_cell_angle_gamma 84.08
_symmetry_space_group_name_H-M 'P 1'
_symmetry_Int_Tables_number 1
_symmetry_space_group_name_Hall 'P 1'
loop_
_atom_site_label
_atom_site_fract_x
_atom_site_fract_y
_atom_site_fract_z
_atom_site_occupancy
Cl1 0.084 0.921 0.265 1
Cl2 0.735 0.916 0.079 1
Dy1 0.150 0.150 0.150 1
Cs1 0.588 0.250 0.912 1
Cl3 0.235 0.579 0.416 1
Dy2 0.850 0.850 0.850 1
Cl4 0.079 0.735 0.916 1
Cl5 0.400 0.100 0.250 1
Cl6 0.921 0.265 0.084 1
Cs2 0.412 0.750 0.088 1
Cl7 0.579 0.416 0.235 1
Cl8 0.265 0.084 0.921 1
Cs3 0.088 0.412 0.750 1
Cl9 0.416 0.235 0.579 1
Cl10 0.765 0.421 0.584 1
Dy3 0.650 0.650 0.650 1
Cl11 0.600 0.900 0.750 1
Cl12 0.916 0.079 0.735 1
Cl13 0.900 0.750 0.600 1
Cs4 0.250 0.912 0.588 1
Cs5 0.750 0.088 0.412 1
Dy4 0.350 0.350 0.350 1
Cl14 0.584 0.765 0.421 1
Cl15 0.750 0.600 0.900 1
Cs6 0.912 0.588 0.250 1
Cl16 0.421 0.584 0.765 1
Cl17 0.250 0.400 0.100 1
Cl18 0.100 0.250 0.400 1
```